Rb3Cr2F7 | GGA+U | relaxed

Unit cell a=4.115 b=4.715 c=10.948 alpha=102.44 beta=90.00 gamma=90.00
Each line ends with the local moment (μB).
Fractional positions:
Rb1 0.500 0.500 0.000  0.00
Rb2 0.500 0.686 0.372  0.00
Rb3 0.500 0.314 0.628  0.00
Cr1 0.000 0.903 0.806  3.81
Cr2 0.000 0.097 0.194  3.81
F1 0.000 0.404 0.808  0.04
F2 0.000 0.808 0.617  0.00
F3 0.000 0.000 0.000  0.00
F4 0.000 0.596 0.192  0.04
F5 0.500 0.097 0.193  0.01
F6 0.500 0.903 0.807  0.01
F7 0.000 0.192 0.383  0.00

Summary:
For the uncorrected energy, the calculation gives -5.246 eV/atom. The volume comes out at 17.3 A^3/atom.